Computed, not measured: a geometry-optimized BaGa3Tc structure at the PBE level of DFT.

Properties
excess energy over the best structure of this formula in the dataset = 405 meV per atom
DOS at the Fermi energy = 4.1 states/eV/f.u.

Cell: 6.583 5.027 8.461 Å, 90.00 107.61 90.00°
Fractional coordinates of all 10 atoms:
Tc  0.852  0.250  0.388
Tc  0.148  0.750  0.612
Ba  0.780  0.250  0.739
Ba  0.220  0.750  0.261
Ga  0.775  0.750  0.426
Ga  0.671  0.498  0.123
Ga  0.225  0.250  0.574
Ga  0.329  0.998  0.877
Ga  0.671  0.002  0.123
Ga  0.329  0.502  0.877

Computed, not measured: a geometry-optimized BaGa3Tc structure at the PBE level of DFT.

Properties
excess energy over the best structure of this formula in the dataset = 368 meV per atom
DOS at the Fermi energy = 2.8 states/eV/f.u.

Cell: 9.595 9.595 9.595 Å, 60.00 60.00 60.00°
Fractional coordinates of all 20 atoms:
Ba  0.625  0.625  0.625
Ba  0.125  0.625  0.625
Ba  0.625  0.625  0.125
Ba  0.625  0.125  0.625
Ga  0.094  0.406  0.094
Ga  0.156  0.844  0.844
Ga  0.406  0.094  0.406
Ga  0.156  0.156  0.844
Ga  0.094  0.094  0.406
Ga  0.406  0.406  0.094
Ga  0.156  0.844  0.156
Ga  0.406  0.094  0.094
Ga  0.844  0.156  0.156
Ga  0.844  0.156  0.844
Ga  0.844  0.844  0.156
Ga  0.094  0.406  0.406
Tc  0.125  0.125  0.125
Tc  0.125  0.625  0.125
Tc  0.625  0.125  0.125
Tc  0.125  0.125  0.625

Computed, not measured: a geometry-optimized BaGa3Tc structure at the PBE level of DFT.

Properties
excess energy over the best structure of this formula in the dataset = 314 meV per atom
DOS at the Fermi energy = 5.5 states/eV/f.u.

Cell: 6.583 6.583 6.583 Å, 67.77 67.77 67.77°
Fractional coordinates of all 10 atoms:
Ga  0.158  0.826  0.482
Ga  0.842  0.174  0.518
Ga  0.174  0.518  0.842
Ga  0.518  0.842  0.174
Ga  0.482  0.158  0.826
Ga  0.826  0.482  0.158
Tc  0.926  0.926  0.926
Tc  0.074  0.074  0.074
Ba  0.335  0.335  0.335
Ba  0.665  0.665  0.665

Computed, not measured: a geometry-optimized Ba2GaTc2 structure at the PBE level of DFT.

Properties
excess energy over the best structure of this formula in the dataset = 478 meV per atom
DOS at the Fermi energy = 8.6 states/eV/f.u.

Cell: 9.653 9.653 3.247 Å, 90.00 90.00 90.00°
Fractional coordinates of all 10 atoms:
Tc  0.422  0.078  0.500
Tc  0.078  0.578  0.500
Tc  0.922  0.422  0.500
Tc  0.578  0.922  0.500
Ba  0.201  0.299  0.000
Ba  0.701  0.201  0.000
Ba  0.799  0.701  0.000
Ba  0.299  0.799  0.000
Ga  0.500  0.500  0.000
Ga  0.000  0.000  0.000

Computed, not measured: a geometry-optimized BaGaTc structure at the PBE level of DFT.

Properties
excess energy over the best structure of this formula in the dataset = 133 meV per atom
DOS at the Fermi energy = 1.3 states/eV/f.u.

Cell: 4.338 4.338 34.482 Å, 90.00 90.00 120.00°
Fractional coordinates of all 18 atoms:
Ga  0.667  0.333  0.864
Ga  0.667  0.333  0.278
Ga  0.000  0.000  0.531
Ga  0.333  0.667  0.611
Ga  0.000  0.000  0.944
Ga  0.333  0.667  0.197
Tc  0.000  0.000  0.874
Tc  0.333  0.667  0.541
Tc  0.667  0.333  0.562
Tc  0.000  0.000  0.229
Tc  0.333  0.667  0.895
Tc  0.667  0.333  0.207
Ba  0.000  0.000  0.128
Ba  0.667  0.333  0.462
Ba  0.000  0.000  0.672
Ba  0.333  0.667  0.338
Ba  0.667  0.333  0.005
Ba  0.333  0.667  0.795

Computed, not measured: a geometry-optimized BaGa3Tc structure at the PBE level of DFT.

Properties
excess energy over the best structure of this formula in the dataset = 161 meV per atom
DOS at the Fermi energy = 2.7 states/eV/f.u.

Cell: 4.308 6.778 9.706 Å, 116.15 89.93 108.51°
Fractional coordinates of all 10 atoms:
Tc  0.914  0.474  0.182
Tc  0.325  0.296  0.214
Ga  0.980  0.589  0.486
Ga  0.357  0.361  0.976
Ga  0.108  0.862  0.165
Ga  0.918  0.481  0.894
Ga  0.742  0.131  0.284
Ga  0.558  0.757  0.363
Ba  0.275  0.194  0.576
Ba  0.619  0.883  0.856

Computed, not measured: a geometry-optimized BaGa3Tc structure at the PBE level of DFT.

Properties
excess energy over the best structure of this formula in the dataset = 116 meV per atom
DOS at the Fermi energy = 2.4 states/eV/f.u.

Cell: 7.081 6.611 7.081 Å, 117.82 55.66 90.00°
Fractional coordinates of all 10 atoms:
Ba  0.027  0.209  0.416
Ba  0.820  0.001  0.001
Tc  0.446  0.627  0.252
Tc  0.596  0.778  0.554
Ga  0.490  0.672  0.893
Ga  0.491  0.223  0.893
Ga  0.328  0.509  0.603
Ga  0.328  0.096  0.604
Ga  0.042  0.672  0.342
Ga  0.915  0.509  0.017

Computed, not measured: a geometry-optimized BaGaTc structure at the PBE level of DFT.

Properties
excess energy over the best structure of this formula in the dataset = 0 meV per atom
DOS at the Fermi energy = 1.4 states/eV/f.u.

Cell: 11.162 4.300 7.456 Å, 90.00 90.59 90.00°
Fractional coordinates of all 12 atoms:
Ga  0.617  0.000  0.501
Ga  0.617  0.500  0.001
Ga  0.383  0.000  0.499
Ga  0.383  0.500  0.999
Tc  0.478  0.000  0.167
Tc  0.522  0.500  0.333
Tc  0.478  0.500  0.667
Tc  0.522  0.000  0.833
Ba  0.804  0.500  0.671
Ba  0.196  0.000  0.829
Ba  0.196  0.500  0.329
Ba  0.804  0.000  0.171